Below is an optimized crystal structure of YMnPtN2, with properties calculated at the GGA-PBE level.

The structure in CIF format:
```
data_YMnPtN2
_chemical_formula_sum 'Y1 Mn1 Pt1 N2'
_symmetry_space_group_name_H-M 'P 4/m m m'
_symmetry_Int_Tables_number 123
_symmetry_space_group_name_Hall '-P 4 2'
_cell_length_a 3.766
_cell_length_b 3.766
_cell_length_c 5.078
_cell_angle_alpha 90.00
_cell_angle_beta 90.00
_cell_angle_gamma 90.00
loop_
_atom_site_label
_atom_site_type_symbol
_atom_site_fract_x
_atom_site_fract_y
_atom_site_fract_z
Y1 Y 0.000 0.000 0.000
Mn1 Mn 0.500 0.500 0.500
Pt1 Pt 0.500 0.500 0.000
N1 N 0.000 0.500 0.500
```


Below is an optimized crystal structure of Mn2ZnPtN, with properties calculated at the GGA-PBE level.

The structure in CIF format:
```
data_Mn2ZnPtN
_chemical_formula_sum 'Mn2 Zn1 Pt1 N1'
_symmetry_space_group_name_H-M 'P 4/m m m'
_symmetry_Int_Tables_number 123
_symmetry_space_group_name_Hall '-P 4 2'
_cell_length_a 3.911
_cell_length_b 3.911
_cell_length_c 4.123
_cell_angle_alpha 90.00
_cell_angle_beta 90.00
_cell_angle_gamma 90.00
loop_
_atom_site_label
_atom_site_type_symbol
_atom_site_fract_x
_atom_site_fract_y
_atom_site_fract_z
Mn1 Mn 0.000 0.500 0.000
Zn1 Zn 0.000 0.000 0.500
Pt1 Pt 0.500 0.500 0.500
N1 N 0.000 0.000 0.000
```


Below is an optimized crystal structure of ZrMn2PtN, with properties calculated at the GGA-PBE level.

The structure in CIF format:
```
data_ZrMn2PtN
_chemical_formula_sum 'Zr1 Mn2 Pt1 N1'
_symmetry_space_group_name_H-M 'P 4/m m m'
_symmetry_Int_Tables_number 123
_symmetry_space_group_name_Hall '-P 4 2'
_cell_length_a 4.000
_cell_length_b 4.000
_cell_length_c 4.387
_cell_angle_alpha 90.00
_cell_angle_beta 90.00
_cell_angle_gamma 90.00
loop_
_atom_site_label
_atom_site_type_symbol
_atom_site_fract_x
_atom_site_fract_y
_atom_site_fract_z
Zr1 Zr 0.000 0.000 0.000
Mn1 Mn 0.000 0.500 0.500
Pt1 Pt 0.500 0.500 0.000
N1 N 0.000 0.000 0.500
```


Below is an optimized crystal structure of PuMnN, with properties calculated at the GGA-PBE level.

The structure in CIF format:
```
data_PuMnN
_chemical_formula_sum 'Pu4 Mn4 N4'
_symmetry_space_group_name_H-M 'I m m m'
_symmetry_Int_Tables_number 71
_symmetry_space_group_name_Hall '-I 2 2'
_cell_length_a 3.658
_cell_length_b 4.197
_cell_length_c 11.791
_cell_angle_alpha 90.00
_cell_angle_beta 90.00
_cell_angle_gamma 90.00
loop_
_atom_site_label
_atom_site_type_symbol
_atom_site_fract_x
_atom_site_fract_y
_atom_site_fract_z
Pu1 Pu 0.000 0.000 0.159
Mn1 Mn 0.000 0.257 0.500
N1 N 0.000 0.000 0.359
```


Below is an optimized crystal structure of PuMn2N, with properties calculated at the GGA-PBE level.

The structure in CIF format:
```
data_PuMn2N
_chemical_formula_sum 'Pu3 Mn6 N3'
_symmetry_space_group_name_H-M 'R -3 m'
_symmetry_Int_Tables_number 166
_symmetry_space_group_name_Hall '-R 3 2"'
_cell_length_a 2.8623
_cell_length_b 2.8623
_cell_length_c 23.6631
_cell_angle_alpha 90.00
_cell_angle_beta 90.00
_cell_angle_gamma 120.00
loop_
_atom_site_label
_atom_site_type_symbol
_atom_site_fract_x
_atom_site_fract_y
_atom_site_fract_z
Pu1 Pu 0.0000 0.0000 0.0000
Mn1 Mn 0.0000 0.0000 0.1219
N1 N 0.0000 0.0000 0.5000
```


Below is an optimized crystal structure of PuMnN2, with properties calculated at the GGA-PBE level.

The structure in CIF format:
```
data_PuMnN2
_chemical_formula_sum 'Pu3 Mn3 N6'
_symmetry_space_group_name_H-M 'R -3 m'
_symmetry_Int_Tables_number 166
_symmetry_space_group_name_Hall '-R 3 2"'
_cell_length_a 3.2828
_cell_length_b 3.2828
_cell_length_c 15.0213
_cell_angle_alpha 90.00
_cell_angle_beta 90.00
_cell_angle_gamma 120.00
loop_
_atom_site_label
_atom_site_type_symbol
_atom_site_fract_x
_atom_site_fract_y
_atom_site_fract_z
Pu1 Pu 0.0000 0.0000 0.0000
Mn1 Mn 0.0000 0.0000 0.5000
N1 N 0.0000 0.0000 0.2425
```


Below is an optimized crystal structure of PuMnN, with properties calculated at the GGA-PBE level.

The structure in CIF format:
```
data_PuMnN
_chemical_formula_sum 'Pu2 Mn2 N2'
_symmetry_space_group_name_H-M 'I 4 m m'
_symmetry_Int_Tables_number 107
_symmetry_space_group_name_Hall 'I 4 -2'
_cell_length_a 3.854
_cell_length_b 3.854
_cell_length_c 6.069
_cell_angle_alpha 90.00
_cell_angle_beta 90.00
_cell_angle_gamma 90.00
loop_
_atom_site_label
_atom_site_type_symbol
_atom_site_fract_x
_atom_site_fract_y
_atom_site_fract_z
Pu1 Pu 0.000 0.000 0.000
Mn1 Mn 0.000 0.000 0.348
N1 N 0.000 0.000 0.653
```


Below is an optimized crystal structure of PuMnN, with properties calculated at the GGA-PBE level.

The structure in CIF format:
```
data_PuMnN
_chemical_formula_sum 'Pu1 Mn1 N1'
_symmetry_space_group_name_H-M 'P 3 m 1'
_symmetry_Int_Tables_number 156
_cell_length_a 3.6236
_cell_length_b 3.6236
_cell_length_c 3.4880
_cell_angle_alpha 90.00
_cell_angle_beta 90.00
_cell_angle_gamma 120.00
loop_
_symmetry_equiv_pos_as_xyz
'x,y,z'
'-y,x-y,z'
'-x+y,-x,z'
'-y,-x,z'
'-x+y,y,z'
'x,x-y,z'
loop_
_atom_site_label
_atom_site_type_symbol
_atom_site_fract_x
_atom_site_fract_y
_atom_site_fract_z
Pu1 Pu 0.0000 0.0000 0.0000
Mn1 Mn 0.3333 0.6667 0.5064
N1 N 0.6667 0.3333 0.4566
```


Below is an optimized crystal structure of PuMnN2, with properties calculated at the GGA-PBE level.

The structure in CIF format:
```
data_PuMnN2
_chemical_formula_sum 'Pu4 Mn4 N8'
_symmetry_space_group_name_H-M 'P n m a'
_symmetry_Int_Tables_number 62
_cell_length_a 5.377
_cell_length_b 3.211
_cell_length_c 10.501
_cell_angle_alpha 90.00
_cell_angle_beta 90.00
_cell_angle_gamma 90.00
loop_
_symmetry_equiv_pos_as_xyz
'x,y,z'
'-x,-y,-z'
'-x+1/2,-y,z+1/2'
'x+1/2,y,-z+1/2'
'x+1/2,-y+1/2,-z+1/2'
'-x+1/2,y+1/2,z+1/2'
'-x,y+1/2,-z'
'x,-y+1/2,z'
loop_
_atom_site_label
_atom_site_type_symbol
_atom_site_fract_x
_atom_site_fract_y
_atom_site_fract_z
Pu1 Pu 0.082 0.250 0.143
Mn1 Mn 0.081 0.750 0.402
N1 N 0.162 0.250 0.752
N2 N 0.233 0.250 0.490
```


Below is an optimized crystal structure of Pu3MnN6, with properties calculated at the GGA-PBE level.

The structure in CIF format:
```
data_Pu3MnN6
_chemical_formula_sum 'Pu12 Mn4 N24'
_symmetry_space_group_name_H-M 'C m c 21'
_symmetry_Int_Tables_number 36
_cell_length_a 8.948
_cell_length_b 11.237
_cell_length_c 5.301
_cell_angle_alpha 90.00
_cell_angle_beta 90.00
_cell_angle_gamma 90.00
loop_
_symmetry_equiv_pos_as_xyz
'x,y,z'
'-x,-y,z+1/2'
'-x,y,z'
'x,-y,z+1/2'
'x+1/2,y+1/2,z'
'-x+1/2,-y+1/2,z+1/2'
'-x+1/2,y+1/2,z'
'x+1/2,-y+1/2,z+1/2'
loop_
_atom_site_label
_atom_site_type_symbol
_atom_site_fract_x
_atom_site_fract_y
_atom_site_fract_z
Pu1 Pu 0.000 0.103 0.000
Pu2 Pu 0.195 0.390 0.025
Mn1 Mn 0.000 0.304 0.578
N1 N 0.000 0.295 0.241
N2 N 0.000 0.445 0.723
N3 N 0.153 0.238 0.737
N4 N 0.157 0.013 0.267
```


Below is an optimized crystal structure of RbPuMnN4, with properties calculated at the GGA-PBE level.

The structure in CIF format:
```
data_RbPuMnN4
_chemical_formula_sum 'Rb2 Pu2 Mn2 N8'
_symmetry_space_group_name_H-M 'P 1 21/m 1'
_symmetry_Int_Tables_number 11
_cell_length_a 5.696
_cell_length_b 5.575
_cell_length_c 7.896
_cell_angle_alpha 90.00
_cell_angle_beta 106.60
_cell_angle_gamma 90.00
loop_
_symmetry_equiv_pos_as_xyz
'x,y,z'
'-x,-y,-z'
'-x,y+1/2,-z'
'x,-y+1/2,z'
loop_
_atom_site_label
_atom_site_type_symbol
_atom_site_fract_x
_atom_site_fract_y
_atom_site_fract_z
Rb1 Rb 0.214 0.250 0.431
Pu1 Pu 0.270 0.250 0.950
Mn1 Mn 0.267 0.750 0.152
N1 N 0.064 0.750 0.949
N2 N 0.066 0.750 0.278
N3 N 0.463 0.510 0.167
```


Below is an optimized crystal structure of Sm2PuMnN4, with properties calculated at the GGA-PBE level.

The structure in CIF format:
```
data_Sm2PuMnN4
_chemical_formula_sum 'Sm8 Pu4 Mn4 N16'
_symmetry_space_group_name_H-M 'C m c m'
_symmetry_Int_Tables_number 63
_symmetry_space_group_name_Hall '-C 2c 2'
_cell_length_a 3.392
_cell_length_b 11.588
_cell_length_c 11.899
_cell_angle_alpha 90.00
_cell_angle_beta 90.00
_cell_angle_gamma 90.00
loop_
_atom_site_label
_atom_site_type_symbol
_atom_site_fract_x
_atom_site_fract_y
_atom_site_fract_z
Sm1 Sm 0.000 0.133 0.045
Pu1 Pu 0.000 0.389 0.250
Mn1 Mn 0.000 0.339 0.750
N1 N 0.000 0.084 0.250
N2 N 0.000 0.227 0.638
N3 N 0.000 0.500 0.000
```


Below is an optimized crystal structure of SmPuMnN3, with properties calculated at the GGA-PBE level.

The structure in CIF format:
```
data_SmPuMnN3
_chemical_formula_sum 'Sm2 Pu2 Mn2 N6'
_symmetry_space_group_name_H-M 'P 1 21/m 1'
_symmetry_Int_Tables_number 11
_cell_length_a 7.095
_cell_length_b 3.432
_cell_length_c 7.453
_cell_angle_alpha 90.00
_cell_angle_beta 96.84
_cell_angle_gamma 90.00
loop_
_symmetry_equiv_pos_as_xyz
'x,y,z'
'-x,-y,-z'
'-x,y+1/2,-z'
'x,-y+1/2,z'
loop_
_atom_site_label
_atom_site_type_symbol
_atom_site_fract_x
_atom_site_fract_y
_atom_site_fract_z
Sm1 Sm 0.160 0.250 0.174
Pu1 Pu 0.360 0.750 0.825
Mn1 Mn 0.074 0.250 0.597
N1 N 0.124 0.250 0.850
N2 N 0.165 0.750 0.532
N3 N 0.407 0.750 0.134
```


Below is an optimized crystal structure of SmPu2MnN4, with properties calculated at the GGA-PBE level.

The structure in CIF format:
```
data_SmPu2MnN4
_chemical_formula_sum 'Sm4 Pu8 Mn4 N16'
_symmetry_space_group_name_H-M 'C m c m'
_symmetry_Int_Tables_number 63
_symmetry_space_group_name_Hall '-C 2c 2'
_cell_length_a 3.374
_cell_length_b 11.443
_cell_length_c 11.455
_cell_angle_alpha 90.00
_cell_angle_beta 90.00
_cell_angle_gamma 90.00
loop_
_atom_site_label
_atom_site_type_symbol
_atom_site_fract_x
_atom_site_fract_y
_atom_site_fract_z
Sm1 Sm 0.000 0.107 0.250
Pu1 Pu 0.000 0.369 0.053
Mn1 Mn 0.000 0.157 0.750
N1 N 0.000 0.000 0.000
N2 N 0.000 0.268 0.619
N3 N 0.000 0.443 0.250
```


Below is an optimized crystal structure of Sr2PuMn2N6, with properties calculated at the GGA-PBE level.

The structure in CIF format:
```
data_Sr2PuMn2N6
_chemical_formula_sum 'Sr6 Pu3 Mn6 N18'
_symmetry_space_group_name_H-M 'R -3 m'
_symmetry_Int_Tables_number 166
_symmetry_space_group_name_Hall '-R 3 2"'
_cell_length_a 5.8928
_cell_length_b 5.8928
_cell_length_c 16.9971
_cell_angle_alpha 90.00
_cell_angle_beta 90.00
_cell_angle_gamma 120.00
loop_
_atom_site_label
_atom_site_type_symbol
_atom_site_fract_x
_atom_site_fract_y
_atom_site_fract_z
Sr1 Sr 0.0000 0.0000 0.2266
Pu1 Pu 0.0000 0.0000 0.0000
Mn1 Mn 0.0000 0.0000 0.4303
N1 N 0.0058 0.5029 0.2544
```


Below is an optimized crystal structure of Sr2PuMnN5, with properties calculated at the GGA-PBE level.

The structure in CIF format:
```
data_Sr2PuMnN5
_chemical_formula_sum 'Sr8 Pu4 Mn4 N20'
_symmetry_space_group_name_H-M 'C m c 21'
_symmetry_Int_Tables_number 36
_cell_length_a 3.466
_cell_length_b 14.616
_cell_length_c 10.797
_cell_angle_alpha 90.00
_cell_angle_beta 90.00
_cell_angle_gamma 90.00
loop_
_symmetry_equiv_pos_as_xyz
'x,y,z'
'-x,-y,z+1/2'
'-x,y,z'
'x,-y,z+1/2'
'x+1/2,y+1/2,z'
'-x+1/2,-y+1/2,z+1/2'
'-x+1/2,y+1/2,z'
'x+1/2,-y+1/2,z+1/2'
loop_
_atom_site_label
_atom_site_type_symbol
_atom_site_fract_x
_atom_site_fract_y
_atom_site_fract_z
Sr1 Sr 0.000 0.116 0.000
Sr2 Sr 0.000 0.140 0.657
Pu1 Pu 0.000 0.194 0.352
Mn1 Mn 0.000 0.454 0.752
N1 N 0.000 0.041 0.320
N2 N 0.000 0.300 0.974
N3 N 0.000 0.327 0.724
N4 N 0.000 0.328 0.334
N5 N 0.000 0.500 0.115
```


Below is an optimized crystal structure of SrPu2MnN4, with properties calculated at the GGA-PBE level.

The structure in CIF format:
```
data_SrPu2MnN4
_chemical_formula_sum 'Sr4 Pu8 Mn4 N16'
_symmetry_space_group_name_H-M 'C m c m'
_symmetry_Int_Tables_number 63
_symmetry_space_group_name_Hall '-C 2c 2'
_cell_length_a 3.490
_cell_length_b 11.782
_cell_length_c 11.625
_cell_angle_alpha 90.00
_cell_angle_beta 90.00
_cell_angle_gamma 90.00
loop_
_atom_site_label
_atom_site_type_symbol
_atom_site_fract_x
_atom_site_fract_y
_atom_site_fract_z
Sr1 Sr 0.000 0.094 0.250
Pu1 Pu 0.000 0.370 0.048
Mn1 Mn 0.000 0.172 0.750
N1 N 0.000 0.000 0.000
N2 N 0.000 0.254 0.612
N3 N 0.000 0.404 0.250
```


Below is an optimized crystal structure of Sr4Pu3MnN8, with properties calculated at the GGA-PBE level.

The structure in CIF format:
```
data_Sr4Pu3MnN8
_chemical_formula_sum 'Sr12 Pu9 Mn3 N24'
_symmetry_space_group_name_H-M 'R -3 m'
_symmetry_Int_Tables_number 166
_symmetry_space_group_name_Hall '-R 3 2"'
_cell_length_a 6.9950
_cell_length_b 6.9950
_cell_length_c 17.7404
_cell_angle_alpha 90.00
_cell_angle_beta 90.00
_cell_angle_gamma 120.00
loop_
_atom_site_label
_atom_site_type_symbol
_atom_site_fract_x
_atom_site_fract_y
_atom_site_fract_z
Sr1 Sr 0.0000 0.0000 0.0000
Sr2 Sr 0.0000 0.5000 0.0000
Pu1 Pu 0.0000 0.5000 0.5000
Mn1 Mn 0.0000 0.0000 0.5000
N1 N 0.0000 0.0000 0.2344
N2 N 0.0078 0.5039 0.7670
```


Below is an optimized crystal structure of Pu2TaMnN5, with properties calculated at the GGA-PBE level.

The structure in CIF format:
```
data_Pu2TaMnN5
_chemical_formula_sum 'Pu8 Ta4 Mn4 N20'
_symmetry_space_group_name_H-M 'C m c 21'
_symmetry_Int_Tables_number 36
_cell_length_a 3.210
_cell_length_b 12.896
_cell_length_c 10.107
_cell_angle_alpha 90.00
_cell_angle_beta 90.00
_cell_angle_gamma 90.00
loop_
_symmetry_equiv_pos_as_xyz
'x,y,z'
'-x,-y,z+1/2'
'-x,y,z'
'x,-y,z+1/2'
'x+1/2,y+1/2,z'
'-x+1/2,-y+1/2,z+1/2'
'-x+1/2,y+1/2,z'
'x+1/2,-y+1/2,z+1/2'
loop_
_atom_site_label
_atom_site_type_symbol
_atom_site_fract_x
_atom_site_fract_y
_atom_site_fract_z
Pu1 Pu 0.000 0.104 0.000
Pu2 Pu 0.000 0.145 0.613
Ta1 Ta 0.000 0.208 0.320
Mn1 Mn 0.000 0.479 0.769
N1 N 0.000 0.047 0.365
N2 N 0.000 0.284 0.962
N3 N 0.000 0.323 0.683
N4 N 0.000 0.368 0.306
N5 N 0.000 0.487 0.091
```


Below is an optimized crystal structure of Tb2PuMnN4, with properties calculated at the GGA-PBE level.

The structure in CIF format:
```
data_Tb2PuMnN4
_chemical_formula_sum 'Tb8 Pu4 Mn4 N16'
_symmetry_space_group_name_H-M 'C m c m'
_symmetry_Int_Tables_number 63
_symmetry_space_group_name_Hall '-C 2c 2'
_cell_length_a 3.360
_cell_length_b 11.392
_cell_length_c 11.638
_cell_angle_alpha 90.00
_cell_angle_beta 90.00
_cell_angle_gamma 90.00
loop_
_atom_site_label
_atom_site_type_symbol
_atom_site_fract_x
_atom_site_fract_y
_atom_site_fract_z
Tb1 Tb 0.000 0.132 0.045
Pu1 Pu 0.000 0.394 0.250
Mn1 Mn 0.000 0.340 0.750
N1 N 0.000 0.078 0.250
N2 N 0.000 0.230 0.633
N3 N 0.000 0.500 0.000
```


Ordered formation energy (no corrections) results: 0.054; -0.203; -0.648; -0.171; 0.187; -0.648; 0.068; -0.313; -0.842; -0.860; -0.409; -0.961; -0.954; -1.057; -0.673; -0.678; -0.968; -0.846; -0.969; -1.078; unit eV per atom.